<a>
This record from Alexandria describes a relaxed structure of Nd8Sm2Y. The functional is GGA-PBE.

a b c (Å): 6.8215 6.8215 9.4389
angles (deg): 103.77 103.77 66.76
Closest atoms and distances in Å follow each position.
Atoms (fractional coordinates):
Nd 0.1489 0.7167 0.7244  4 Nd 3.24-3.60, 1 Y 3.28, 2 Sm 3.49-3.57
Nd 0.1815 0.1815 0.6292  7 Nd 3.46-3.60, 3 Sm 3.59-3.78
Nd 0.1891 0.1891 0.9983  5 Nd 3.46-3.68, 1 Sm 3.48, 1 Y 3.54
Nd 0.2833 0.8511 0.2756  4 Nd 3.24-3.60, 1 Y 3.28, 2 Sm 3.49-3.57
Nd 0.7167 0.1489 0.7244  4 Nd 3.24-3.60, 1 Y 3.28, 2 Sm 3.49-3.57
Nd 0.8109 0.8109 0.0017  5 Nd 3.46-3.68, 1 Sm 3.48, 1 Y 3.54
Nd 0.8185 0.8185 0.3708  7 Nd 3.46-3.60, 3 Sm 3.59-3.78
Nd 0.8511 0.2833 0.2756  4 Nd 3.24-3.60, 1 Y 3.28, 2 Sm 3.49-3.57
Sm 0.3581 0.3581 0.3688  1 Sm 3.47, 10 Nd 3.48-3.86
Sm 0.6419 0.6419 0.6312  1 Sm 3.47, 10 Nd 3.48-3.86
Y 0.5000 0.5000 0.0000  6 Nd 3.28-3.54

Fermi-level density of states in states/eV per atom: 1.6853
Space-group type: C2/m
V in Å³ per atom: 35.17
Total magnetic moment in μB/f.u.: 0.0

<b>
This record from Alexandria describes a relaxed structure of Nd8Sm2Y. The functional is GGA-PBE.

a b c (Å): 9.1343 9.1343 6.7916
angles (deg): 99.71 99.71 44.19
Closest atoms and distances in Å follow each position.
Atoms (fractional coordinates):
Nd 0.0919 0.0919 0.9136  8 Nd 3.43-3.80, 1 Sm 3.73
Nd 0.1499 0.6752 0.5936  5 Nd 3.26-3.61, 1 Y 3.40, 1 Sm 3.50
Nd 0.2563 0.2563 0.6842  5 Nd 3.35-3.52, 4 Sm 3.40-3.71
Nd 0.3248 0.8501 0.4064  5 Nd 3.26-3.61, 1 Y 3.40, 1 Sm 3.50
Nd 0.6752 0.1499 0.5936  5 Nd 3.26-3.61, 1 Y 3.40, 1 Sm 3.50
Nd 0.7437 0.7437 0.3158  5 Nd 3.35-3.52, 4 Sm 3.40-3.71
Nd 0.8501 0.3248 0.4064  5 Nd 3.26-3.61, 1 Y 3.40, 1 Sm 3.50
Nd 0.9081 0.9081 0.0864  8 Nd 3.43-3.80, 1 Sm 3.73
Sm 0.3027 0.3027 0.1933  7 Nd 3.40-3.73, 1 Y 3.80
Sm 0.6973 0.6973 0.8067  7 Nd 3.40-3.73, 1 Y 3.80
Y 0.5000 0.5000 0.0000  4 Nd 3.40, 2 Sm 3.80

Fermi-level density of states in states/eV per atom: 1.6622
Space-group type: C2/m
V in Å³ per atom: 35.31
Total magnetic moment in μB/f.u.: 0.0

What are the relative energies? In meV per atom: <a> 0; <b> 35.